(1)
A geometry-optimized TaCdP structure, computed with PBE.

The space group is P4/nmm (No. 129, origin choice 2) and the conventional cell measures 3.375, 3.375 and 9.955 Å, with angles of 90.00, 90.00 and 90.00 degrees. The asymmetric unit holds Ta at (0.250, 0.250, 0.095), Cd at (0.250, 0.250, 0.402) and P at (0.250, 0.250, 0.821).

The total DFT energy (no corrections) is -38.56 eV/cell. The calculation puts the excess energy over the best structure of this formula in the dataset at 0.000 eV per atom. The calculation puts the formation enthalpy at 0 K at -0.37 eV/atom. The crystal system is tetragonal. As for the density of states at the Fermi level: 3.08 states/eV per cell.

(2)
A geometry-optimized Cs2RbNpH6 structure, computed with PBE.

The space group is R-3m (No. 166, hexagonal axes) and the conventional cell measures 7.0018, 7.0018 and 17.1626 Å, with angles of 90.00, 90.00 and 120.00 degrees. The asymmetric unit holds Cs at (0.0000, 0.0000, 0.2494), Rb at (0.0000, 0.0000, 0.5000), Np at (0.0000, 0.0000, 0.0000) and H at (0.0329, 0.5165, 0.7423).

The total DFT energy (no corrections) is -107.21 eV/cell. The crystal system is trigonal. As for the density of states at the Fermi level: 21.69 states/eV per cell.

(3)
A geometry-optimized PuPdPt structure, computed with PBE.

The space group is I4mm (No. 107) and the conventional cell measures 3.607, 3.607 and 9.032 Å, with angles of 90.00, 90.00 and 90.00 degrees. The asymmetric unit holds Pu at (0.000, 0.000, 0.000), Pd at (0.000, 0.000, 0.327) and Pt at (0.000, 0.000, 0.663).

The total DFT energy (no corrections) is -54.08 eV/cell. The calculation puts the excess energy over the best structure of this formula in the dataset at 0.218 eV per atom. The calculation puts the formation enthalpy at 0 K at -0.49 eV/atom. The crystal system is tetragonal. As for the density of states at the Fermi level: 20.85 states/eV per cell.

(4)
A geometry-optimized Sc3InPt structure, computed with PBE.

The space group is Pm-3m (No. 221) and the conventional cell measures 5.203, 5.203 and 5.203 Å, with angles of 90.00, 90.00 and 90.00 degrees. The asymmetric unit holds Sc at (0.000, 0.000, 0.500), In at (0.000, 0.000, 0.000) and Pt at (0.500, 0.500, 0.500).

The total DFT energy (no corrections) is -24.77 eV/cell. The calculation puts the excess energy over the best structure of this formula in the dataset at 1.240 eV per atom. The calculation puts the formation enthalpy at 0 K at 0.60 eV/atom. The crystal system is cubic. As for the density of states at the Fermi level: 4.12 states/eV per cell.